Record 1
Density functional theory data (PBE) for an optimized crystal structure of Sc2BeCu.

Unit cell a=5.779 b=5.779 c=5.779 alpha=102.76 beta=102.76 gamma=123.95
Positions (direct):
Sc 0.121 0.625 0.996
Sc 0.375 0.371 0.496
Sc 0.629 0.125 0.004
Sc 0.875 0.879 0.504
Be 0.250 0.750 0.500
Be 0.500 0.500 0.000
Cu 0.000 0.000 0.000
Cu 0.750 0.250 0.500

- formation energy (eV/atom) = 0.372
- DOS at the Fermi energy (states/eV per cell) = 7.9
- symmetry = I-42d (122)



Record 2
Density functional theory data (PBE) for an optimized crystal structure of AcDyMgBi.

Unit cell a=5.666 b=5.666 c=5.666 alpha=60.00 beta=60.00 gamma=60.00
Positions (direct):
Ac 0.000 0.000 0.000
Dy 0.500 0.500 0.500
Mg 0.750 0.750 0.750
Bi 0.250 0.250 0.250

- formation energy (eV/atom) = -0.297
- DOS at the Fermi energy (states/eV per cell) = 5.0
- symmetry = F-43m (216)